No. 1
Compound: K2HO
Source: the Alexandria database
Functional: PBE
Structure: optimized geometry

Geometry as CIF:
```
data_K2HO
_chemical_formula_sum 'K8 H4 O4'
_cell_length_a 6.6443
_cell_length_b 6.6443
_cell_length_c 6.6443
_cell_angle_alpha 90.00
_cell_angle_beta 90.00
_cell_angle_gamma 90.00
_space_group_name_H-M_alt 'F m -3 m'
_space_group_IT_number 225
_space_group_name_Hall '-F 4 2 3'
loop_
_atom_site_label
_atom_site_type_symbol
_atom_site_fract_x
_atom_site_fract_y
_atom_site_fract_z
K1 K 0.2500 0.2500 0.2500
H1 H 0.0000 0.0000 0.0000
O1 O 0.0000 0.0000 0.5000
```

Calculated values
Uncorrected energy   -3.04 eV per atom
Density   2.16 Mg/m³

No. 2
Compound: SmIn2Sn
Source: the Alexandria database
Functional: PBE
Structure: optimized geometry

Geometry as CIF:
```
data_SmIn2Sn
_chemical_formula_sum 'Sm3 In6 Sn3'
_cell_length_a 5.1180
_cell_length_b 5.1180
_cell_length_c 14.8714
_cell_angle_alpha 90.00
_cell_angle_beta 90.00
_cell_angle_gamma 120.00
_space_group_name_H-M_alt 'R -3 m'
_space_group_IT_number 166
_space_group_name_Hall '-R 3 2"'
loop_
_atom_site_label
_atom_site_type_symbol
_atom_site_fract_x
_atom_site_fract_y
_atom_site_fract_z
Sm1 Sm 0.0000 0.0000 0.0000
In1 In 0.0000 0.0000 0.2367
Sn1 Sn 0.0000 0.0000 0.5000
```

Calculated values
Calculated formation energy   -70 kJ/mol of formula units
Density   7.36 Mg/m³

No. 3
Compound: NaPaGaO5
Source: the Alexandria database
Functional: PBE
Structure: optimized geometry

Geometry as CIF:
```
data_NaPaGaO5
_chemical_formula_sum 'Na4 Pa4 Ga4 O20'
_cell_length_a 7.1398
_cell_length_b 9.5948
_cell_length_c 8.1084
_cell_angle_alpha 90.00
_cell_angle_beta 114.53
_cell_angle_gamma 90.00
_space_group_name_H-M_alt 'C 1 2/c 1'
_space_group_IT_number 15
_space_group_name_Hall '-C 2yc'
loop_
_atom_site_label
_atom_site_type_symbol
_atom_site_fract_x
_atom_site_fract_y
_atom_site_fract_z
Na1 Na 0.0000 0.1642 0.2500
Pa1 Pa 0.0000 0.5000 0.0000
Ga1 Ga 0.0000 0.1856 0.7500
O1 O 0.0000 0.4199 0.2500
O2 O 0.1116 0.3015 0.6304
O3 O 0.1867 0.0621 0.9109
```

Calculated values
Formation energy from raw total energies   -2.365 eV/atom
Density   5.31 Mg/m³

No. 4
Compound: La2HoSc
Source: the Alexandria database
Functional: PBE
Structure: optimized geometry

Geometry as CIF:
```
data_La2HoSc
_chemical_formula_sum 'La2 Ho1 Sc1'
_cell_length_a 3.7058
_cell_length_b 3.7058
_cell_length_c 9.3908
_cell_angle_alpha 90.00
_cell_angle_beta 90.00
_cell_angle_gamma 90.00
_space_group_name_H-M_alt 'P 4/m m m'
_space_group_IT_number 123
_space_group_name_Hall '-P 4 2'
loop_
_atom_site_label
_atom_site_type_symbol
_atom_site_fract_x
_atom_site_fract_y
_atom_site_fract_z
La1 La 0.0000 0.0000 0.2387
Ho1 Ho 0.5000 0.5000 0.5000
Sc1 Sc 0.5000 0.5000 0.0000
```

Calculated values
Calculated formation energy   16 kJ/mol of formula units
Density   6.28 Mg/m³

No. 5
Compound: ThCuNiBi
Source: the Alexandria database
Functional: PBE
Structure: optimized geometry

Geometry as CIF:
```
data_ThCuNiBi
_chemical_formula_sum 'Th4 Cu4 Ni4 Bi4'
_cell_length_a 6.8955
_cell_length_b 6.8955
_cell_length_c 6.8955
_cell_angle_alpha 90.00
_cell_angle_beta 90.00
_cell_angle_gamma 90.00
_space_group_name_H-M_alt 'F -4 3 m'
_space_group_IT_number 216
_space_group_name_Hall 'F -4 2 3'
loop_
_atom_site_label
_atom_site_type_symbol
_atom_site_fract_x
_atom_site_fract_y
_atom_site_fract_z
Th1 Th 0.0000 0.0000 0.0000
Cu1 Cu 0.2500 0.2500 0.2500
Ni1 Ni 0.2500 0.2500 0.7500
Bi1 Bi 0.0000 0.0000 0.5000
```

Calculated values
Calculated formation energy   -82 kJ/mol of formula units
Density   11.41 Mg/m³

No. 6
Compound: Pm6CN2Cl3
Source: the Alexandria database
Functional: PBE
Structure: optimized geometry

Geometry as CIF:
```
data_Pm6CN2Cl3
_chemical_formula_sum 'Pm12 C2 N4 Cl6'
_cell_length_a 17.6220
_cell_length_b 3.6905
_cell_length_c 8.1895
_cell_angle_alpha 90.00
_cell_angle_beta 111.45
_cell_angle_gamma 90.00
_space_group_name_H-M_alt 'C 1 2/m 1'
_space_group_IT_number 12
_space_group_name_Hall '-C 2y'
loop_
_atom_site_label
_atom_site_type_symbol
_atom_site_fract_x
_atom_site_fract_y
_atom_site_fract_z
Pm1 Pm 0.0148 0.0000 0.2192
Pm2 Pm 0.1536 0.5000 0.1189
Pm3 Pm 0.1809 0.5000 0.5483
C1 C 0.0000 0.5000 0.0000
N1 N 0.1680 0.0000 0.3351
Cl1 Cl 0.0000 0.5000 0.5000
Cl2 Cl 0.1653 0.0000 0.8327
```

Calculated values
Formation energy from raw total energies   -1.401 eV/atom
Density   6.81 Mg/m³

No. 7
Compound: Tb3HoHg2
Source: the Alexandria database
Functional: PBE
Structure: optimized geometry

Geometry as CIF:
```
data_Tb3HoHg2
_chemical_formula_sum 'Tb12 Ho4 Hg8'
_cell_length_a 7.1102
_cell_length_b 14.4578
_cell_length_c 7.5018
_cell_angle_alpha 90.00
_cell_angle_beta 90.00
_cell_angle_gamma 90.00
_space_group_name_H-M_alt 'I b a m'
_space_group_IT_number 72
_space_group_name_Hall '-I 2 2c'
loop_
_atom_site_label
_atom_site_type_symbol
_atom_site_fract_x
_atom_site_fract_y
_atom_site_fract_z
Tb1 Tb 0.0000 0.0000 0.2500
Tb2 Tb 0.0000 0.2722 0.2500
Ho1 Ho 0.0000 0.5000 0.0000
Hg1 Hg 0.2005 0.1395 0.0000
```

Calculated values
Calculated formation energy   -55 kJ/mol of formula units
Density   8.98 Mg/m³

No. 8
Compound: LiLaCd2In4
Source: the Alexandria database
Functional: PBE
Structure: optimized geometry

Geometry as CIF:
```
data_LiLaCd2In4
_chemical_formula_sum 'Li3 La3 Cd6 In12'
_cell_length_a 5.0055
_cell_length_b 5.0055
_cell_length_c 27.5468
_cell_angle_alpha 90.00
_cell_angle_beta 90.00
_cell_angle_gamma 120.00
_space_group_name_H-M_alt 'R -3 m'
_space_group_IT_number 166
_space_group_name_Hall '-R 3 2"'
loop_
_atom_site_label
_atom_site_type_symbol
_atom_site_fract_x
_atom_site_fract_y
_atom_site_fract_z
Li1 Li 0.0000 0.0000 0.0000
La1 La 0.0000 0.0000 0.5000
Cd1 Cd 0.0000 0.0000 0.2498
In1 In 0.0000 0.0000 0.1083
In2 In 0.0000 0.0000 0.3678
```

Calculated values
Calculated formation energy   -190 kJ/mol of formula units
Density   6.92 Mg/m³